Record 1
DFT (PBE-GGA) results for a relaxed structure of Dy4Ga3.

## Properties
**DOS(E_F)**: 0.978 states/eV per atom
**VASP energy**: -61.61 eV per cell
**DFT formation energy**: -0.47 eV per atom

Cell and atoms, written as CIF:
```
data_Dy4Ga3
_cell_length_a 8.101
_cell_length_b 8.101
_cell_length_c 8.101
_cell_angle_alpha 113.39
_cell_angle_beta 113.39
_cell_angle_gamma 113.39
_symmetry_space_group_name_H-M 'P 1'
_symmetry_Int_Tables_number 1
_symmetry_space_group_name_Hall 'P 1'
loop_
_atom_site_label
_atom_site_type_symbol
_atom_site_fract_x
_atom_site_fract_y
_atom_site_fract_z
Dy1 Dy 0.000 0.000 0.000
Dy2 Dy 0.079 0.770 0.623
Dy3 Dy 0.230 0.377 0.921
Dy4 Dy 0.377 0.921 0.230
Dy5 Dy 0.500 0.500 0.500
Dy6 Dy 0.623 0.079 0.770
Dy7 Dy 0.770 0.623 0.079
Dy8 Dy 0.921 0.230 0.377
Ga1 Ga 0.124 0.519 0.249
Ga2 Ga 0.249 0.124 0.519
Ga3 Ga 0.481 0.751 0.876
Ga4 Ga 0.519 0.249 0.124
Ga5 Ga 0.751 0.876 0.481
Ga6 Ga 0.876 0.481 0.751
```

---

Record 2
DFT (PBE-GGA) results for a relaxed structure of KH2Pb2.

## Properties
**DOS(E_F)**: 0.426 states/eV per atom
**VASP energy**: -13.84 eV per cell

Cell and atoms, written as CIF:
```
data_KH2Pb2
_cell_length_a 6.966
_cell_length_b 6.966
_cell_length_c 6.966
_cell_angle_alpha 142.42
_cell_angle_beta 142.42
_cell_angle_gamma 54.20
_symmetry_space_group_name_H-M 'P 1'
_symmetry_Int_Tables_number 1
_symmetry_space_group_name_Hall 'P 1'
loop_
_atom_site_label
_atom_site_type_symbol
_atom_site_fract_x
_atom_site_fract_y
_atom_site_fract_z
K1 K 0.000 0.000 0.000
H1 H 0.250 0.750 0.500
H2 H 0.750 0.250 0.500
Pb1 Pb 0.310 0.310 0.000
Pb2 Pb 0.690 0.690 0.000
```

---

Record 3
DFT (PBE-GGA) results for a relaxed structure of TaBeZnFe2.

## Properties
**DOS(E_F)**: 0.685 states/eV per atom
**VASP energy**: -31.76 eV per cell
**DFT formation energy**: 0.40 eV per atom

Cell and atoms, written as CIF:
```
data_TaBeZnFe2
_cell_length_a 3.985
_cell_length_b 3.985
_cell_length_c 3.873
_cell_angle_alpha 90.00
_cell_angle_beta 90.00
_cell_angle_gamma 90.00
_symmetry_space_group_name_H-M 'P 1'
_symmetry_Int_Tables_number 1
_symmetry_space_group_name_Hall 'P 1'
loop_
_atom_site_label
_atom_site_type_symbol
_atom_site_fract_x
_atom_site_fract_y
_atom_site_fract_z
Ta1 Ta 0.000 0.000 0.000
Be1 Be 0.500 0.500 0.500
Zn1 Zn 0.500 0.500 0.000
Fe1 Fe 0.000 0.500 0.500
Fe2 Fe 0.500 0.000 0.500
```